Record 1
First-principles (PBE) data for an optimized crystal structure of NdSm2Dy4Tm2, as listed in the Alexandria database.

Values from the calculation:
- Mass density: 8235 kg/m³
- DFT formation energy: 0.0074 eV per atom

a = 3.6001 Å, b = 9.4916 Å, c = 9.5525 Å
α = 115.15°, β = 90.00°, γ = 100.93°
Closest atoms and distances in Å follow each position.
Fractional positions:
Dy: 0.1852 0.3704 0.3339  2 Tm 3.53, 6 Dy 3.54-3.60, 3 Sm 3.54-3.60, 1 Nd 3.54
Dy: 0.8148 0.6296 0.6661  2 Tm 3.53, 6 Dy 3.54-3.60, 3 Sm 3.54-3.60, 1 Nd 3.54
Dy: 0.4811 0.9622 0.6665  2 Nd 3.54, 4 Sm 3.54-3.59, 5 Dy 3.54-3.60, 1 Tm 3.57
Dy: 0.5189 0.0378 0.3335  2 Nd 3.54, 4 Sm 3.54-3.59, 5 Dy 3.54-3.60, 1 Tm 3.57
Sm: 0.1481 0.2961 0.6673  3 Tm 3.51-3.55, 7 Dy 3.54-3.60, 2 Sm 3.60
Sm: 0.8519 0.7039 0.3327  3 Tm 3.51-3.55, 7 Dy 3.54-3.60, 2 Sm 3.60
Nd: 0.0000 0.0000 0.0000  6 Dy 3.54, 2 Nd 3.60, 4 Tm 3.60
Tm: 0.6681 0.3361 0.0024  3 Sm 3.51-3.55, 3 Dy 3.53-3.57, 4 Tm 3.56-3.60, 2 Nd 3.60
Tm: 0.3319 0.6639 0.9976  3 Sm 3.51-3.55, 3 Dy 3.53-3.57, 4 Tm 3.56-3.60, 2 Nd 3.60

---

Record 2
First-principles (PBE) data for an optimized crystal structure of Ca4CdPt, as listed in the Alexandria database.

Values from the calculation:
- Energy above the most stable polymorph in this dataset: 855 meV/atom
- Mass density: 4480 kg/m³
- DFT formation energy: 0.3622 eV per atom

a = 6.2592 Å, b = 6.2592 Å, c = 6.2592 Å
α = 60.00°, β = 60.00°, γ = 60.00°
Closest atoms and distances in Å follow each position.
Fractional positions:
Ca: 0.8778 0.3741 0.3741  6 Ca 3.11-3.15
Ca: 0.3741 0.3741 0.3741  6 Ca 3.11-3.15
Ca: 0.3741 0.3741 0.8778  6 Ca 3.11-3.15
Ca: 0.3741 0.8778 0.3741  6 Ca 3.11-3.15
Cd: 0.7500 0.7500 0.7500  12 Ca 3.67, 4 Pt 3.83
Pt: 0.0000 0.0000 0.0000  12 Ca 3.67, 4 Cd 3.83

---

Record 3
First-principles (PBE) data for an optimized crystal structure of MgCoP2S, as listed in the Alexandria database.

Values from the calculation:
- Energy above the most stable polymorph in this dataset: 1030 meV/atom
- Mass density: 2773 kg/m³
- Formation energy without anion corrections: 1184 meV/atom

a = 4.7406 Å, b = 4.7406 Å, c = 4.7227 Å
α = 90.00°, β = 90.00°, γ = 90.00°
Closest atoms and distances in Å follow each position.
Fractional positions:
Co: 0.5000 0.5000 0.5000  8 P 3.35, 4 S 3.35
S: 0.0000 0.0000 0.5000  2 Mg 2.36
P: 0.5000 0.0000 0.0000  2 Mg 2.37
P: 0.0000 0.5000 0.0000  2 Mg 2.37
Mg: 0.0000 0.0000 0.0000  2 S 2.36, 4 P 2.37

---

Record 4
First-principles (PBE) data for an optimized crystal structure of ZrCu3Rh, as listed in the Alexandria database.

Values from the calculation:
- Energy above the most stable polymorph in this dataset: 0 meV/atom
- Mass density: 8720 kg/m³
- DFT formation energy: -0.2142 eV per atom

a = 4.6650 Å, b = 5.1625 Å, c = 6.5273 Å
α = 90.00°, β = 111.22°, γ = 90.00°
Closest atoms and distances in Å follow each position.
Fractional positions:
Rh: 0.3730 0.7500 0.2466  3 Zr 2.60-2.76, 8 Cu 2.63-2.76
Rh: 0.6270 0.2500 0.7534  3 Zr 2.60-2.76, 8 Cu 2.63-2.76
Cu: 0.1870 0.9999 0.8706  4 Cu 2.47-2.73, 3 Rh 2.63-2.76
Cu: 0.9890 0.7500 0.4760  6 Cu 2.47-2.73, 2 Zr 2.70-2.71, 2 Rh 2.72
Cu: 0.8130 0.0001 0.1294  4 Cu 2.47-2.73, 3 Rh 2.63-2.76
Cu: 0.1870 0.5001 0.8706  4 Cu 2.47-2.73, 3 Rh 2.63-2.76
Cu: 0.0110 0.2500 0.5240  6 Cu 2.47-2.73, 2 Zr 2.70-2.71, 2 Rh 2.72
Cu: 0.8130 0.4999 0.1294  4 Cu 2.47-2.73, 3 Rh 2.63-2.76
Zr: 0.3980 0.2500 0.2996  3 Rh 2.60-2.76, 8 Cu 2.70-2.91
Zr: 0.6020 0.7500 0.7004  3 Rh 2.60-2.76, 8 Cu 2.70-2.91

---

Record 5
First-principles (PBE) data for an optimized crystal structure of Tc2BTe, as listed in the Alexandria database.

Values from the calculation:
- Energy above the most stable polymorph in this dataset: 39 meV/atom
- Mass density: 9834 kg/m³
- Formation energy without anion corrections: 581 meV/atom

a = 4.3063 Å, b = 4.3063 Å, c = 4.3063 Å
α = 60.00°, β = 60.00°, γ = 60.00°
Closest atoms and distances in Å follow each position.
Fractional positions:
Tc: 0.7500 0.7500 0.7500  4 Te 2.64, 4 B 2.64
Tc: 0.2500 0.2500 0.2500  4 Te 2.64, 4 B 2.64
Te: 0.5000 0.5000 0.5000  8 Tc 2.64
B: 0.0000 0.0000 0.0000  8 Tc 2.64

---

Record 6
First-principles (PBE) data for an optimized crystal structure of TaIr2C, as listed in the Alexandria database.

Values from the calculation:
- Mass density: 14036 kg/m³
- DFT formation energy: 0.3024 eV per atom

a = 5.2165 Å, b = 5.2165 Å, c = 6.2299 Å
α = 65.25°, β = 65.25°, γ = 90.00°
Closest atoms and distances in Å follow each position.
Fractional positions:
C: 0.2500 0.7500 0.5000  4 Ir 2.00
C: 0.5000 0.5000 0.0000  4 Ir 2.00
Ir: 0.2122 0.6250 0.2500  2 C 2.00
Ir: 0.8750 0.7878 0.7500  2 C 2.00
Ir: 0.5378 0.1250 0.2500  2 C 2.00
Ir: 0.3750 0.4622 0.7500  2 C 2.00
Ta: 0.7500 0.2500 0.5000  4 Ir 2.52
Ta: 0.0000 0.0000 0.0000  4 Ir 2.52

---

- What is the formula in the fourth record?
  ZrCu3Rh

---

- The lowest mass density belongs to which entry?
  MgCoP2S

---

- Which of these has the highest mass density?
  TaIr2C